ScTlBr4 | PBE | relaxed

```
data_ScTlBr4
_cell_length_a 4.045
_cell_length_b 7.028
_cell_length_c 8.282
_cell_angle_alpha 104.68
_cell_angle_beta 90.01
_cell_angle_gamma 106.80
_space_group_name_H-M_alt 'P 1'
_space_group_IT_number 1
_space_group_name_Hall 'P 1'
loop_
_atom_site_label
_atom_site_type_symbol
_atom_site_fract_x
_atom_site_fract_y
_atom_site_fract_z
Br1 Br 0.123 0.245 0.302
Br2 Br 0.615 0.228 0.917
Br3 Br 0.385 0.771 0.083
Br4 Br 0.877 0.755 0.698
Tl1 Tl 0.500 0.000 0.500
Sc1 Sc 0.000 0.000 0.000
```

Computed properties:
Formation energy (no corrections) ... -1402 meV/atom
Space-group type ... No. 2
Offset from the most stable computed form ... 0.00 eV/f.u.
Magnetization ... 0.000 μB/f.u.

---

Sc2TlBr | PBE | relaxed

```
data_Sc2TlBr
_cell_length_a 4.836
_cell_length_b 4.836
_cell_length_c 8.547
_cell_angle_alpha 60.42
_cell_angle_beta 60.42
_cell_angle_gamma 42.44
_space_group_name_H-M_alt 'P 1'
_space_group_IT_number 1
_space_group_name_Hall 'P 1'
loop_
_atom_site_label
_atom_site_type_symbol
_atom_site_fract_x
_atom_site_fract_y
_atom_site_fract_z
Tl1 Tl 0.750 0.750 0.750
Sc1 Sc 0.938 0.938 0.943
Sc2 Sc 0.562 0.562 0.557
Br1 Br 0.250 0.250 0.250
```

Computed properties:
Formation energy (no corrections) ... -493 meV/atom
Space-group type ... No. 12
Offset from the most stable computed form ... 0.21 eV/f.u.
Magnetization ... 0.000 μB/f.u.

---

Sc2TlBr | PBE | relaxed

```
data_Sc2TlBr
_cell_length_a 5.093
_cell_length_b 5.093
_cell_length_c 5.093
_cell_angle_alpha 60.00
_cell_angle_beta 60.00
_cell_angle_gamma 60.00
_space_group_name_H-M_alt 'P 1'
_space_group_IT_number 1
_space_group_name_Hall 'P 1'
loop_
_atom_site_label
_atom_site_type_symbol
_atom_site_fract_x
_atom_site_fract_y
_atom_site_fract_z
Sc1 Sc 0.750 0.750 0.750
Sc2 Sc 0.250 0.250 0.250
Br1 Br 0.000 0.000 0.000
Tl1 Tl 0.500 0.500 0.500
```

Computed properties:
Formation energy (no corrections) ... -319 meV/atom
Space-group type ... No. 225
Offset from the most stable computed form ... 0.90 eV/f.u.
Magnetization ... 0.000 μB/f.u.

---

ScTl4Br7 | PBE | relaxed

```
data_ScTl4Br7
_cell_length_a 5.295
_cell_length_b 7.910
_cell_length_c 11.841
_cell_angle_alpha 112.82
_cell_angle_beta 102.92
_cell_angle_gamma 90.00
_space_group_name_H-M_alt 'P 1'
_space_group_IT_number 1
_space_group_name_Hall 'P 1'
loop_
_atom_site_label
_atom_site_type_symbol
_atom_site_fract_x
_atom_site_fract_y
_atom_site_fract_z
Tl1 Tl 0.419 0.481 0.838
Tl2 Tl 0.688 0.124 0.377
Tl3 Tl 0.312 0.876 0.623
Tl4 Tl 0.581 0.519 0.162
Br1 Br 0.932 0.203 0.864
Br2 Br 0.500 0.000 0.000
Br3 Br 0.107 0.302 0.214
Br4 Br 0.068 0.797 0.136
Br5 Br 0.893 0.698 0.786
Br6 Br 0.279 0.234 0.558
Br7 Br 0.721 0.766 0.442
Sc1 Sc 0.000 0.000 0.000
```

Computed properties:
Formation energy (no corrections) ... -1122 meV/atom
Space-group type ... No. 12
Magnetization ... 0.000 μB/f.u.

---

ScTlBr4 | PBE | relaxed

```
data_ScTlBr4
_cell_length_a 6.413
_cell_length_b 6.413
_cell_length_c 6.413
_cell_angle_alpha 60.00
_cell_angle_beta 60.00
_cell_angle_gamma 60.00
_space_group_name_H-M_alt 'P 1'
_space_group_IT_number 1
_space_group_name_Hall 'P 1'
loop_
_atom_site_label
_atom_site_type_symbol
_atom_site_fract_x
_atom_site_fract_y
_atom_site_fract_z
Br1 Br 0.873 0.376 0.376
Br2 Br 0.376 0.376 0.873
Br3 Br 0.376 0.873 0.376
Br4 Br 0.376 0.376 0.376
Tl1 Tl 0.000 0.000 0.000
Sc1 Sc 0.750 0.750 0.750
```

Computed properties:
Formation energy (no corrections) ... 110 meV/atom
Space-group type ... No. 216
Offset from the most stable computed form ... 9.07 eV/f.u.
Magnetization ... 0.055 μB/f.u.

---

Sc2TlBr | PBE | relaxed

```
data_Sc2TlBr
_cell_length_a 3.448
_cell_length_b 5.953
_cell_length_c 4.879
_cell_angle_alpha 90.00
_cell_angle_beta 90.00
_cell_angle_gamma 90.00
_space_group_name_H-M_alt 'P 1'
_space_group_IT_number 1
_space_group_name_Hall 'P 1'
loop_
_atom_site_label
_atom_site_type_symbol
_atom_site_fract_x
_atom_site_fract_y
_atom_site_fract_z
Br1 Br 0.000 0.500 0.500
Tl1 Tl 0.500 0.000 0.500
Sc1 Sc 0.000 0.000 0.000
Sc2 Sc 0.500 0.500 0.000
```

Computed properties:
Formation energy (no corrections) ... -264 meV/atom
Space-group type ... No. 47
Offset from the most stable computed form ... 1.12 eV/f.u.
Magnetization ... 0.000 μB/f.u.

---

Sc2TlBr | PBE | relaxed

```
data_Sc2TlBr
_cell_length_a 7.575
_cell_length_b 5.363
_cell_length_c 3.337
_cell_angle_alpha 82.50
_cell_angle_beta 75.19
_cell_angle_gamma 128.81
_space_group_name_H-M_alt 'P 1'
_space_group_IT_number 1
_space_group_name_Hall 'P 1'
loop_
_atom_site_label
_atom_site_type_symbol
_atom_site_fract_x
_atom_site_fract_y
_atom_site_fract_z
Sc1 Sc 0.000 0.000 0.000
Sc2 Sc 0.500 0.000 0.500
Br1 Br 0.500 0.500 0.000
Tl1 Tl 0.000 0.500 0.500
```

Computed properties:
Formation energy (no corrections) ... -387 meV/atom
Space-group type ... No. 12
Offset from the most stable computed form ... 0.63 eV/f.u.
Magnetization ... 1.047 μB/f.u.

---

Sc2TlBr | PBE | relaxed

```
data_Sc2TlBr
_cell_length_a 9.045
_cell_length_b 9.045
_cell_length_c 9.045
_cell_angle_alpha 22.40
_cell_angle_beta 22.40
_cell_angle_gamma 22.40
_space_group_name_H-M_alt 'P 1'
_space_group_IT_number 1
_space_group_name_Hall 'P 1'
loop_
_atom_site_label
_atom_site_type_symbol
_atom_site_fract_x
_atom_site_fract_y
_atom_site_fract_z
Sc1 Sc 0.004 0.004 0.004
Sc2 Sc 0.496 0.496 0.496
Tl1 Tl 0.250 0.250 0.250
Br1 Br 0.750 0.750 0.750
```

Computed properties:
Formation energy (no corrections) ... -486 meV/atom
Space-group type ... No. 166
Offset from the most stable computed form ... 0.24 eV/f.u.
Magnetization ... 0.000 μB/f.u.

---

Sc2TlBr | PBE | relaxed

```
data_Sc2TlBr
_cell_length_a 3.459
_cell_length_b 3.459
_cell_length_c 9.180
_cell_angle_alpha 90.00
_cell_angle_beta 90.00
_cell_angle_gamma 117.49
_space_group_name_H-M_alt 'P 1'
_space_group_IT_number 1
_space_group_name_Hall 'P 1'
loop_
_atom_site_label
_atom_site_type_symbol
_atom_site_fract_x
_atom_site_fract_y
_atom_site_fract_z
Tl1 Tl 0.500 0.500 0.250
Sc1 Sc 0.000 0.000 0.509
Sc2 Sc 0.000 0.000 0.991
Br1 Br 0.500 0.500 0.750
```

Computed properties:
Formation energy (no corrections) ... -412 meV/atom
Space-group type ... No. 65
Offset from the most stable computed form ... 0.53 eV/f.u.
Magnetization ... 0.002 μB/f.u.

---

ScTlBr3 | PBE | relaxed

```
data_ScTlBr3
_cell_length_a 5.418
_cell_length_b 5.418
_cell_length_c 5.418
_cell_angle_alpha 90.00
_cell_angle_beta 90.00
_cell_angle_gamma 90.00
_space_group_name_H-M_alt 'P 1'
_space_group_IT_number 1
_space_group_name_Hall 'P 1'
loop_
_atom_site_label
_atom_site_type_symbol
_atom_site_fract_x
_atom_site_fract_y
_atom_site_fract_z
Tl1 Tl 0.500 0.500 0.500
Br1 Br 0.000 0.500 0.000
Br2 Br 0.000 0.000 0.500
Br3 Br 0.500 0.000 0.000
Sc1 Sc 0.000 0.000 0.000
```

Computed properties:
Formation energy (no corrections) ... -1163 meV/atom
Space-group type ... No. 221
Magnetization ... 0.987 μB/f.u.

---

ScTl4Br | PBE | relaxed

```
data_ScTl4Br
_cell_length_a 6.315
_cell_length_b 6.315
_cell_length_c 6.315
_cell_angle_alpha 60.00
_cell_angle_beta 60.00
_cell_angle_gamma 60.00
_space_group_name_H-M_alt 'P 1'
_space_group_IT_number 1
_space_group_name_Hall 'P 1'
loop_
_atom_site_label
_atom_site_type_symbol
_atom_site_fract_x
_atom_site_fract_y
_atom_site_fract_z
Tl1 Tl 0.876 0.375 0.375
Tl2 Tl 0.375 0.876 0.375
Tl3 Tl 0.375 0.375 0.375
Tl4 Tl 0.375 0.375 0.876
Sc1 Sc 0.000 0.000 0.000
Br1 Br 0.750 0.750 0.750
```

Computed properties:
Formation energy (no corrections) ... 90 meV/atom
Space-group type ... No. 216
Magnetization ... 0.009 μB/f.u.

---

Sc2TlBr | PBE | relaxed

```
data_Sc2TlBr
_cell_length_a 3.381
_cell_length_b 3.381
_cell_length_c 7.929
_cell_angle_alpha 90.00
_cell_angle_beta 90.00
_cell_angle_gamma 90.00
_space_group_name_H-M_alt 'P 1'
_space_group_IT_number 1
_space_group_name_Hall 'P 1'
loop_
_atom_site_label
_atom_site_type_symbol
_atom_site_fract_x
_atom_site_fract_y
_atom_site_fract_z
Sc1 Sc 0.000 0.000 0.998
Sc2 Sc 0.000 0.000 0.502
Tl1 Tl 0.500 0.500 0.250
Br1 Br 0.500 0.500 0.750
```

Computed properties:
Formation energy (no corrections) ... -435 meV/atom
Space-group type ... No. 123
Offset from the most stable computed form ... 0.44 eV/f.u.
Magnetization ... 1.710 μB/f.u.

---

ScTlBr4 | PBE | relaxed

```
data_ScTlBr4
_cell_length_a 6.764
_cell_length_b 7.437
_cell_length_c 8.851
_cell_angle_alpha 103.24
_cell_angle_beta 112.47
_cell_angle_gamma 90.00
_space_group_name_H-M_alt 'P 1'
_space_group_IT_number 1
_space_group_name_Hall 'P 1'
loop_
_atom_site_label
_atom_site_type_symbol
_atom_site_fract_x
_atom_site_fract_y
_atom_site_fract_z
Tl1 Tl 0.212 0.250 0.000
Tl2 Tl 0.788 0.750 0.000
Br1 Br 0.868 0.832 0.614
Br2 Br 0.703 0.451 0.200
Br3 Br 0.254 0.668 0.386
Br4 Br 0.498 0.951 0.200
Br5 Br 0.746 0.332 0.614
Br6 Br 0.502 0.049 0.800
Br7 Br 0.297 0.549 0.800
Br8 Br 0.132 0.168 0.386
Sc1 Sc 0.000 0.500 0.500
Sc2 Sc 0.500 0.000 0.500
```

Computed properties:
Formation energy (no corrections) ... -1386 meV/atom
Space-group type ... No. 15
Offset from the most stable computed form ... 0.10 eV/f.u.
Magnetization ... 0.000 μB/f.u.